(1)
A plane-wave DFT calculation with PBE was carried out for a relaxed ZrPbBr2 crystal.

Cell lengths 3.3164, 3.3164, 11.4490 Å; angles 90.00, 90.00, 90.00 degrees
Positions (direct):
Zr (0.0000, 0.0000, 0.0000)
Pb (0.0000, 0.0000, 0.5000)
Br (0.5000, 0.5000, 0.1457)
Br (0.5000, 0.5000, 0.8543)

Computed properties:
The total energy comes out at -4.4955 eV/atom. The excess energy over the best structure of this formula in the dataset comes out at 178 meV per atom. The volume is 31.48 A^3/atom.

=====

(2)
A plane-wave DFT calculation with PBE was carried out for a relaxed Li2TiIO6 crystal.

Cell lengths 5.1670, 5.1675, 5.4847 Å; angles 90.07, 118.05, 119.97 degrees
Positions (direct):
Li (0.0000, 0.0000, 0.0000)
Li (0.0141, 0.5073, 0.5212)
Ti (0.5691, 0.7852, 0.3546)
I (0.5792, 0.2902, 0.8685)
O (0.0957, 0.1734, 0.6558)
O (0.1000, 0.4216, 0.1528)
O (0.4755, 0.0539, 0.1535)
O (0.4829, 0.9219, 0.6558)
O (0.7325, 0.6780, 0.1537)
O (0.7338, 0.5607, 0.6560)

Computed properties:
The total energy comes out at -5.9253 eV/atom. The volume is 10.65 A^3/atom.

=====

(3)
A plane-wave DFT calculation with PBE was carried out for a relaxed KNpAgTe2 crystal.

Cell lengths 8.8456, 8.8456, 6.7647 Å; angles 90.00, 90.00, 140.88 degrees
Positions (direct):
K (0.2500, 0.7500, 0.7665)
K (0.7500, 0.2500, 0.2335)
Np (0.2500, 0.2500, 0.5000)
Np (0.7500, 0.7500, 0.5000)
Ag (0.0000, 0.0000, 0.0000)
Ag (0.5000, 0.5000, 0.0000)
Te (0.1279, 0.8721, 0.2497)
Te (0.3721, 0.6279, 0.2497)
Te (0.6279, 0.3721, 0.7503)
Te (0.8721, 0.1279, 0.7503)

Computed properties:
The total energy comes out at -5.1337 eV/atom. The volume is 33.40 A^3/atom.

=====

(4)
A plane-wave DFT calculation with PBE was carried out for a relaxed Tb2PmPb crystal.

Cell lengths 6.8805, 5.3231, 6.9084 Å; angles 90.00, 102.27, 90.00 degrees
Positions (direct):
Tb (0.0916, 0.2500, 0.3892)
Tb (0.2575, 0.7500, 0.1261)
Tb (0.7425, 0.2500, 0.8739)
Tb (0.9084, 0.7500, 0.6108)
Pm (0.4219, 0.7500, 0.6526)
Pm (0.5781, 0.2500, 0.3474)
Pb (0.2225, 0.2500, 0.8731)
Pb (0.7775, 0.7500, 0.1269)

Computed properties:
The total energy comes out at -4.7024 eV/atom. The excess energy over the best structure of this formula in the dataset comes out at 31 meV per atom. The volume is 30.91 A^3/atom. The energy relative to the elements comes out at -0.27 eV per atom.

=====

(5)
A plane-wave DFT calculation with PBE was carried out for a relaxed HgBClO2 crystal.

Cell lengths 5.8116, 5.6907, 7.3831 Å; angles 90.00, 103.62, 90.00 degrees
Positions (direct):
Hg (0.0774, 0.2500, 0.2015)
Hg (0.9226, 0.7500, 0.7985)
B (0.3940, 0.7500, 0.5955)
B (0.6060, 0.2500, 0.4045)
Cl (0.2168, 0.7500, 0.0829)
Cl (0.7832, 0.2500, 0.9171)
O (0.1782, 0.7500, 0.5925)
O (0.3890, 0.2500, 0.4167)
O (0.6110, 0.7500, 0.5833)
O (0.8218, 0.2500, 0.4075)

Computed properties:
The total energy comes out at -4.9351 eV/atom. The volume is 23.73 A^3/atom.

=====

(6)
A plane-wave DFT calculation with PBE was carried out for a relaxed YZn2SeBr crystal.

Cell lengths 5.0013, 5.0013, 5.4713 Å; angles 90.00, 90.00, 90.00 degrees
Positions (direct):
Y (0.0000, 0.0000, 0.0000)
Zn (0.0000, 0.5000, 0.5000)
Zn (0.5000, 0.0000, 0.5000)
Se (0.5000, 0.5000, 0.0000)
Br (0.5000, 0.5000, 0.5000)

Computed properties:
The total energy comes out at -2.4748 eV/atom. The volume is 27.37 A^3/atom.

=====

(7)
A plane-wave DFT calculation with PBE was carried out for a relaxed Ce2In5Cl12 crystal.

Cell lengths 9.3818, 9.3818, 8.0074 Å; angles 107.51, 107.51, 63.88 degrees
Positions (direct):
Ce (0.2470, 0.7530, 0.0000)
Ce (0.7530, 0.2470, 0.0000)
In (0.0000, 0.0000, 0.5000)
In (0.2537, 0.2537, 0.0170)
In (0.3497, 0.3497, 0.5093)
In (0.6503, 0.6503, 0.4907)
In (0.7463, 0.7463, 0.9830)
Cl (0.0850, 0.0850, 0.1865)
Cl (0.0931, 0.7026, 0.2048)
Cl (0.1425, 0.5188, 0.7615)
Cl (0.2974, 0.9069, 0.7952)
Cl (0.4770, 0.4770, 0.1819)
Cl (0.4812, 0.8575, 0.2385)
Cl (0.5188, 0.1425, 0.7615)
Cl (0.5230, 0.5230, 0.8181)
Cl (0.7026, 0.0931, 0.2048)
Cl (0.8575, 0.4812, 0.2385)
Cl (0.9069, 0.2974, 0.7952)
Cl (0.9150, 0.9150, 0.8135)

Computed properties:
The total energy comes out at -3.9422 eV/atom. The volume is 31.14 A^3/atom.

=====

(8)
A plane-wave DFT calculation with PBE was carried out for a relaxed KSr2CuF8 crystal.

Cell lengths 4.3055, 5.7520, 8.1823 Å; angles 84.59, 84.97, 82.32 degrees
Positions (direct):
K (0.0000, 0.0000, 0.0000)
Sr (0.4716, 0.5077, 0.2479)
Sr (0.5284, 0.4923, 0.7521)
Cu (0.0000, 0.0000, 0.5000)
F (0.0625, 0.3195, 0.7267)
F (0.1293, 0.1509, 0.3097)
F (0.3509, 0.7865, 0.4967)
F (0.4771, 0.2697, 0.0201)
F (0.5229, 0.7303, 0.9799)
F (0.6491, 0.2135, 0.5033)
F (0.8707, 0.8491, 0.6903)
F (0.9375, 0.6805, 0.2733)

Computed properties:
The total energy comes out at -4.8149 eV/atom. The volume is 16.61 A^3/atom.

=====

(9)
A plane-wave DFT calculation with PBE was carried out for a relaxed CsTbCu2F8 crystal.

Cell lengths 8.4499, 8.4499, 8.4499 Å; angles 39.67, 39.67, 39.67 degrees
Positions (direct):
Cs (0.0000, 0.0000, 0.0000)
Tb (0.5000, 0.5000, 0.5000)
Cu (0.2453, 0.2453, 0.2453)
Cu (0.7547, 0.7547, 0.7547)
F (0.1202, 0.7545, 0.4647)
F (0.2455, 0.5353, 0.8798)
F (0.3232, 0.3232, 0.3232)
F (0.4647, 0.1202, 0.7545)
F (0.5353, 0.8798, 0.2455)
F (0.6768, 0.6768, 0.6768)
F (0.7545, 0.4647, 0.1202)
F (0.8798, 0.2455, 0.5353)

Computed properties:
The total energy comes out at -4.8639 eV/atom. The volume is 18.45 A^3/atom.

=====

(10)
A plane-wave DFT calculation with PBE was carried out for a relaxed Y4Ho5Pu crystal.

Cell lengths 8.1284, 8.1284, 8.1284 Å; angles 96.37, 96.37, 141.10 degrees
Positions (direct):
Y (0.0000, 0.3236, 0.3236)
Y (0.0000, 0.6764, 0.6764)
Y (0.3236, 0.0000, 0.3236)
Y (0.6764, 0.0000, 0.6764)
Ho (0.0035, 0.0035, 0.0000)
Ho (0.3167, 0.3167, 0.6325)
Ho (0.3167, 0.6841, 0.0000)
Ho (0.6841, 0.3167, 0.0000)
Ho (0.6841, 0.6841, 0.3675)
Pu (0.5040, 0.5040, 0.0000)

Computed properties:
The total energy comes out at -6.0593 eV/atom. The excess energy over the best structure of this formula in the dataset comes out at 181 meV per atom. The volume is 31.80 A^3/atom. The energy relative to the elements comes out at 0.25 eV per atom.

=====

(11)
A plane-wave DFT calculation with PBE was carried out for a relaxed Gd2LuZn crystal.

Cell lengths 3.5786, 3.5786, 8.5501 Å; angles 90.00, 90.00, 90.00 degrees
Positions (direct):
Gd (0.0000, 0.0000, 0.2112)
Gd (0.0000, 0.0000, 0.7888)
Lu (0.5000, 0.5000, 0.5000)
Zn (0.5000, 0.5000, 0.0000)

Computed properties:
The total energy comes out at -8.6325 eV/atom. The excess energy over the best structure of this formula in the dataset comes out at 0 meV per atom. The volume is 27.37 A^3/atom. The energy relative to the elements comes out at -0.14 eV per atom.

=====

(12)
A plane-wave DFT calculation with PBE was carried out for a relaxed AlAs2P crystal.

Cell lengths 2.9474, 2.9474, 28.2301 Å; angles 90.00, 90.00, 120.00 degrees
Positions (direct):
Al (0.0000, 0.0000, 0.0000)
Al (0.3333, 0.6667, 0.6667)
Al (0.6667, 0.3333, 0.3333)
As (0.0000, 0.0000, 0.2554)
As (0.0000, 0.0000, 0.7446)
As (0.3333, 0.6667, 0.4113)
As (0.3333, 0.6667, 0.9220)
As (0.6667, 0.3333, 0.0780)
As (0.6667, 0.3333, 0.5887)
P (0.0000, 0.0000, 0.5000)
P (0.3333, 0.6667, 0.1667)
P (0.6667, 0.3333, 0.8333)

Computed properties:
The total energy comes out at -4.1479 eV/atom. The excess energy over the best structure of this formula in the dataset comes out at 543 meV per atom. The volume is 17.70 A^3/atom. The energy relative to the elements comes out at 0.46 eV per atom.